The following is a DFT calculation (GGA+U) of a relaxed structure of Tl3Co2PbF9.

Cell lengths 6.1220, 6.1220, 7.8596 Å; angles 90.00, 90.00, 120.00 degrees
Closest atoms and distances in Å follow each position.
Space group P-3m1 (No. 164)
One atom of each set of equivalent atoms:
Tl (0.0000, 0.0000, 0.0000) (multiplicity 1)  12 F 3.00-3.06
Tl (0.3333, 0.6667, 0.7084) (multiplicity 2)  9 F 2.89-3.06
Co (0.3333, 0.6667, 0.1505) (multiplicity 2)  6 F 2.03-2.13
Pb (0.0000, 0.0000, 0.5000) (multiplicity 1)  6 F 2.45
F (0.0000, 0.5000, 0.0000) (multiplicity 3)  2 Co 2.13
F (0.1762, 0.3525, 0.2987) (multiplicity 6)  1 Co 2.03

## Properties
DOS(E_F) ... 11.3 states/eV per cell
Theoretical density ... 7.2 Mg/m³
E_tot ... -4.449 eV per atom